## A
A relaxed CdGeTe3 crystal. Source: the Alexandria database, functional PBE.

Properties
Its crystal system is cubic. The value obtained for the calculated density is 5.49 g/cm³. Its total magnetic moment is 0.00 μB/f.u.

Cell lengths 5.5599, 5.5599, 5.5599 Å; angles 90.00, 90.00, 90.00 degrees
Last column: nearest neighbours and their distance in Å.
Positions (direct):
Cd 0.0000 0.0000 0.0000  6 Te 2.78
Ge 0.5000 0.5000 0.5000  12 Te 3.93
Te 0.0000 0.0000 0.5000  2 Cd 2.78
Te 0.0000 0.5000 0.0000  2 Cd 2.78
Te 0.5000 0.0000 0.0000  2 Cd 2.78

## B
A relaxed CdGeTe3 crystal. Source: the Alexandria database, functional PBE.

Properties
Its crystal system is cubic. The value obtained for the calculated density is 5.85 g/cm³. Its total magnetic moment is 0.00 μB/f.u.

Cell lengths 5.4426, 5.4426, 5.4426 Å; angles 90.00, 90.00, 90.00 degrees
Last column: nearest neighbours and their distance in Å.
Positions (direct):
Cd 0.0000 0.0000 0.0000  12 Te 3.85
Ge 0.5000 0.5000 0.5000  6 Te 2.72
Te 0.0000 0.5000 0.5000  2 Ge 2.72
Te 0.5000 0.0000 0.5000  2 Ge 2.72
Te 0.5000 0.5000 0.0000  2 Ge 2.72

The calculated energies rank the structures as follows, beginning with the most stable: B, A.